Record 1
Entry from Alexandria via LeMat-Bulk: an optimized crystal structure of ThPdPtAu (PBE-GGA).

Values from the calculation:
Energy relative to the elements ... -3.2 eV per formula unit
Crystal system ... cubic
Density ... 14.9 Mg/m³

a = 4.865 Å, b = 4.865 Å, c = 4.865 Å
α = 60.00°, β = 60.00°, γ = 60.00°
Fractional positions:
Pt1 0.500 0.500 0.500
Au1 0.250 0.250 0.250
Th1 0.750 0.750 0.750
Pd1 0.000 0.000 0.000

=====

Record 2
Entry from Alexandria via LeMat-Bulk: an optimized crystal structure of ZrGa3F8 (PBE-GGA).

Values from the calculation:
Crystal system ... cubic
Density ... 4.3 Mg/m³
Raw formation energy ... -2411.7 meV per atom

a = 5.610 Å, b = 5.610 Å, c = 5.610 Å
α = 90.00°, β = 90.00°, γ = 90.00°
Fractional positions:
F1 0.776 0.776 0.776
F2 0.776 0.776 0.224
F3 0.224 0.776 0.224
F4 0.224 0.224 0.224
F5 0.776 0.224 0.224
F6 0.776 0.224 0.776
F7 0.224 0.776 0.776
F8 0.224 0.224 0.776
Ga1 0.500 0.000 0.500
Ga2 0.500 0.500 0.000
Ga3 0.000 0.500 0.500
Zr1 0.000 0.000 0.000

=====

Record 3
Entry from Alexandria via LeMat-Bulk: an optimized crystal structure of AlZnGa (PBE-GGA).

Values from the calculation:
Energy relative to the elements ... 0.1 eV per formula unit
Crystal system ... monoclinic
Density ... 5.3 Mg/m³

a = 6.225 Å, b = 4.118 Å, c = 4.116 Å
α = 86.05°, β = 99.69°, γ = 99.67°
Fractional positions:
Zn1 0.402 0.874 0.913
Zn2 0.781 0.203 0.241
Al1 0.091 0.784 0.330
Al2 0.091 0.292 0.823
Ga1 0.768 0.719 0.757
Ga2 0.414 0.357 0.396

=====

Record 4
Entry from Alexandria via LeMat-Bulk: an optimized crystal structure of Sm3Hf5H12 (PBE-GGA).

Values from the calculation:
Crystal system ... cubic
Density ... 9.5 Mg/m³
E_tot ... -5.594 eV per atom

a = 10.736 Å, b = 10.736 Å, c = 10.736 Å
α = 109.47°, β = 109.47°, γ = 109.47°
Fractional positions:
Sm1 0.875 0.125 0.250
Sm2 0.875 0.750 0.125
Sm3 0.750 0.375 0.125
Sm4 0.375 0.625 0.250
Sm5 0.250 0.625 0.875
Sm6 0.125 0.250 0.875
Sm7 0.625 0.250 0.375
Sm8 0.250 0.125 0.375
Sm9 0.750 0.875 0.625
Sm10 0.375 0.750 0.625
Sm11 0.625 0.375 0.750
Sm12 0.125 0.875 0.750
Hf1 0.125 0.750 0.375
Hf2 0.000 0.500 0.000
Hf3 0.000 0.000 0.000
Hf4 0.500 0.500 0.000
Hf5 0.750 0.625 0.375
Hf6 0.000 0.500 0.500
Hf7 0.375 0.250 0.125
Hf8 0.125 0.375 0.250
Hf9 0.500 0.500 0.500
Hf10 0.250 0.875 0.125
Hf11 0.625 0.750 0.875
Hf12 0.500 0.000 0.000
Hf13 0.000 0.000 0.500
Hf14 0.500 0.000 0.500
Hf15 0.750 0.125 0.875
Hf16 0.625 0.875 0.250
Hf17 0.250 0.375 0.625
Hf18 0.875 0.625 0.750
Hf19 0.875 0.250 0.625
Hf20 0.375 0.125 0.750
H1 0.913 0.076 0.863
H2 0.863 0.287 0.450
H3 0.363 0.950 0.787
H4 0.137 0.713 0.550
H5 0.087 0.163 0.450
H6 0.576 0.713 0.663
H7 0.337 0.550 0.413
H8 0.163 0.087 0.950
H9 0.424 0.137 0.587
H10 0.050 0.413 0.837
H11 0.450 0.787 0.863
H12 0.163 0.076 0.713
H13 0.663 0.450 0.587
H14 0.213 0.550 0.637
H15 0.837 0.913 0.050
H16 0.550 0.337 0.913
H17 0.087 0.924 0.137
H18 0.587 0.950 0.663
H19 0.637 0.050 0.213
H20 0.913 0.837 0.550
H21 0.050 0.637 0.713
H22 0.450 0.663 0.087
H23 0.287 0.424 0.837
H24 0.413 0.363 0.576
H25 0.637 0.587 0.924
H26 0.713 0.576 0.163
H27 0.863 0.576 0.913
H28 0.337 0.787 0.424
H29 0.587 0.637 0.424
H30 0.213 0.663 0.076
H31 0.950 0.587 0.163
H32 0.363 0.413 0.076
H33 0.837 0.924 0.287
H34 0.924 0.087 0.637
H35 0.950 0.363 0.287
H36 0.076 0.913 0.363
H37 0.076 0.163 0.213
H38 0.924 0.837 0.787
H39 0.287 0.863 0.950
H40 0.713 0.137 0.050
H41 0.413 0.050 0.337
H42 0.787 0.450 0.363
H43 0.787 0.337 0.924
H44 0.137 0.424 0.087
H45 0.550 0.213 0.137
H46 0.424 0.287 0.337
H47 0.576 0.863 0.413
H48 0.663 0.213 0.576

=====

Record 5
Entry from Alexandria via LeMat-Bulk: an optimized crystal structure of Sr2AlI (PBE-GGA).

Values from the calculation:
Crystal system ... tetragonal
Density ... 3.9 Mg/m³
Raw formation energy ... -621.1 meV per atom

a = 3.948 Å, b = 3.948 Å, c = 8.995 Å
α = 90.00°, β = 90.00°, γ = 90.00°
Fractional positions:
I1 0.500 0.500 0.500
Sr1 0.000 0.000 0.222
Sr2 0.000 0.000 0.778
Al1 0.500 0.500 0.000

=====

Record 6
Entry from Alexandria via LeMat-Bulk: an optimized crystal structure of Sr2ReBr (PBE-GGA).

Values from the calculation:
Crystal system ... tetragonal
Density ... 5.4 Mg/m³
Raw formation energy ... 496.9 meV per atom

a = 8.170 Å, b = 8.170 Å, c = 7.071 Å
α = 54.71°, β = 54.71°, γ = 90.00°
Last column: magnetic moment on the atom in μB.
Fractional positions:
Re1 0.000 0.000 0.000  2.08
Re2 0.750 0.250 0.500  2.09
Sr1 0.629 0.125 0.250  -0.02
Sr2 0.121 0.625 0.250  -0.02
Sr3 0.375 0.371 0.750  -0.01
Sr4 0.875 0.879 0.750  -0.02
Br1 0.250 0.750 0.500  0.01
Br2 0.500 0.500 0.000  0.01

=====

Record 7
Entry from Alexandria via LeMat-Bulk: an optimized crystal structure of TaMnOs2 (PBE-GGA).

Values from the calculation:
Energy relative to the elements ... 0.0 eV per formula unit
Crystal system ... orthorhombic
Density ... 17.1 Mg/m³

a = 5.133 Å, b = 5.133 Å, c = 5.133 Å
α = 144.16°, β = 130.31°, γ = 62.76°
Last column: magnetic moment on the atom in μB.
Fractional positions:
Mn1 0.249 0.749 0.500  2.85
Ta1 0.496 0.496 0.000  -0.10
Os1 0.009 0.009 0.000  0.03
Os2 0.747 0.247 0.500  0.10

=====

Record 8
Entry from Alexandria via LeMat-Bulk: an optimized crystal structure of ZrTaTi2 (PBE-GGA).

Values from the calculation:
Energy relative to the elements ... 0.6 eV per formula unit
Crystal system ... trigonal
Density ... 7.9 Mg/m³

a = 3.010 Å, b = 3.010 Å, c = 9.956 Å
α = 81.31°, β = 81.31°, γ = 60.00°
Fractional positions:
Zr1 0.500 0.500 0.499
Ta1 0.667 0.667 0.000
Ti1 0.079 0.079 0.763
Ti2 0.254 0.254 0.237

=====

Record 9
Entry from Alexandria via LeMat-Bulk: an optimized crystal structure of La2CuAs3Ir4 (PBE-GGA).

Values from the calculation:
Energy relative to the elements ... -7.2 eV per formula unit
Crystal system ... tetragonal
Density ... 11.9 Mg/m³

a = 4.248 Å, b = 4.248 Å, c = 10.324 Å
α = 90.00°, β = 90.00°, γ = 90.00°
Fractional positions:
As1 0.000 0.000 0.500
As2 0.500 0.000 0.863
As3 0.000 0.500 0.137
Ir1 0.000 0.000 0.000
Ir2 0.000 0.500 0.371
Ir3 0.500 0.500 0.000
Ir4 0.500 0.000 0.629
La1 0.000 0.500 0.741
La2 0.500 0.000 0.259
Cu1 0.500 0.500 0.500

=====

Record 10
Entry from Alexandria via LeMat-Bulk: an optimized crystal structure of Mg15Tl2Ga2 (PBE-GGA).

Values from the calculation:
Energy relative to the elements ... 1.6 eV per formula unit
Crystal system ... trigonal
Density ... 3.3 Mg/m³

a = 7.848 Å, b = 7.848 Å, c = 7.848 Å
α = 80.16°, β = 80.16°, γ = 80.16°
Fractional positions:
Mg1 0.000 0.680 0.320
Mg2 0.500 0.000 0.000
Mg3 0.840 0.335 0.335
Mg4 0.680 0.320 0.000
Mg5 0.320 0.000 0.680
Mg6 0.000 0.500 0.000
Mg7 0.665 0.160 0.665
Mg8 0.335 0.335 0.840
Mg9 0.665 0.665 0.160
Mg10 0.000 0.320 0.680
Mg11 0.320 0.680 0.000
Mg12 0.335 0.840 0.335
Mg13 0.160 0.665 0.665
Mg14 0.680 0.000 0.320
Mg15 0.000 0.000 0.500
Ga1 0.088 0.088 0.088
Ga2 0.912 0.912 0.912
Tl1 0.309 0.309 0.309
Tl2 0.691 0.691 0.691

=====

Record 11
Entry from Alexandria via LeMat-Bulk: an optimized crystal structure of YMnCu2 (PBE-GGA).

Values from the calculation:
Energy relative to the elements ... 0.1 eV per formula unit
Crystal system ... tetragonal
Density ... 6.6 Mg/m³

a = 3.252 Å, b = 3.261 Å, c = 7.222 Å
α = 63.12°, β = 90.00°, γ = 90.00°
Last column: magnetic moment on the atom in μB.
Fractional positions:
Cu1 0.000 0.950 0.050  0.07
Cu2 0.000 0.550 0.450  0.07
Mn1 0.500 0.250 0.250  3.70
Y1 0.500 0.750 0.750  0.00

=====

Record 12
Entry from Alexandria via LeMat-Bulk: an optimized crystal structure of ZrScIr4 (PBE-GGA).

Values from the calculation:
Energy relative to the elements ... -4.3 eV per formula unit
Crystal system ... cubic
Density ... 14.7 Mg/m³

a = 5.245 Å, b = 5.245 Å, c = 5.245 Å
α = 60.00°, β = 60.00°, γ = 60.00°
Fractional positions:
Ir1 0.625 0.126 0.625
Ir2 0.625 0.625 0.625
Ir3 0.126 0.625 0.625
Ir4 0.625 0.625 0.126
Zr1 0.000 0.000 0.000
Sc1 0.250 0.250 0.250

=====

Record 13
Entry from Alexandria via LeMat-Bulk: an optimized crystal structure of Sm3Ga7Ir2 (PBE-GGA).

Values from the calculation:
Energy relative to the elements ... -6.8 eV per formula unit
Crystal system ... orthorhombic
Density ... 9.0 Mg/m³

a = 4.036 Å, b = 4.249 Å, c = 14.420 Å
α = 98.47°, β = 90.00°, γ = 90.00°
Fractional positions:
Ga1 0.000 0.585 0.169
Ga2 0.000 0.415 0.831
Ga3 0.000 0.000 0.000
Ga4 0.500 0.917 0.835
Ga5 0.000 0.226 0.452
Ga6 0.000 0.774 0.548
Ga7 0.500 0.083 0.165
Sm1 0.500 0.676 0.352
Sm2 0.500 0.324 0.648
Sm3 0.500 0.500 0.000
Ir1 0.000 0.861 0.722
Ir2 0.000 0.139 0.278

=====

Record 14
Entry from Alexandria via LeMat-Bulk: an optimized crystal structure of MnAgCl4 (PBE-GGA).

Values from the calculation:
Crystal system ... orthorhombic
Density ... 2.5 Mg/m³
Raw formation energy ... -731.1 meV per atom

a = 6.892 Å, b = 6.940 Å, c = 8.349 Å
α = 90.00°, β = 90.00°, γ = 90.00°
Last column: magnetic moment on the atom in μB.
Fractional positions:
Cl1 0.220 0.711 0.911  0.03
Cl2 0.220 0.289 0.089  0.03
Cl3 0.780 0.711 0.089  0.03
Cl4 0.790 0.787 0.601  0.02
Cl5 0.780 0.289 0.911  0.03
Cl6 0.210 0.787 0.399  0.02
Cl7 0.790 0.213 0.399  0.02
Cl8 0.210 0.213 0.601  0.02
Mn1 0.000 0.500 0.000  3.60
Mn2 0.000 0.000 0.500  3.60
Ag1 0.000 0.000 0.000  0.06
Ag2 0.500 0.000 0.500  0.01

=====

Record 15
Entry from Alexandria via LeMat-Bulk: an optimized crystal structure of NaAlF3 (PBE-GGA).

Values from the calculation:
Crystal system ... cubic
Density ... 2.7 Mg/m³
Raw formation energy ... -1677.7 meV per atom

a = 4.057 Å, b = 4.057 Å, c = 4.057 Å
α = 90.00°, β = 90.00°, γ = 90.00°
Fractional positions:
F1 0.500 0.000 0.000
F2 0.000 0.000 0.500
F3 0.000 0.500 0.000
Al1 0.500 0.500 0.500
Na1 0.000 0.000 0.000

=====

Record 16
Entry from Alexandria via LeMat-Bulk: an optimized crystal structure of TlPBrO2 (PBE-GGA).

Values from the calculation:
Crystal system ... tetragonal
Density ... 6.9 Mg/m³
Raw formation energy ... 551.7 meV per atom

a = 4.027 Å, b = 4.027 Å, c = 5.170 Å
α = 90.00°, β = 90.00°, γ = 90.00°
Fractional positions:
Tl1 0.500 0.500 0.500
O1 0.500 0.000 0.000
O2 0.000 0.500 0.000
P1 0.000 0.000 0.500
Br1 0.000 0.000 0.000

=====

Record 17
Entry from Alexandria via LeMat-Bulk: an optimized crystal structure of YHgSe2 (PBE-GGA).

Values from the calculation:
Crystal system ... cubic
Density ... 7.8 Mg/m³
Raw formation energy ... -547.2 meV per atom

a = 5.115 Å, b = 5.115 Å, c = 5.115 Å
α = 60.00°, β = 60.00°, γ = 60.00°
Fractional positions:
Se1 0.250 0.250 0.250
Se2 0.000 0.000 0.000
Y1 0.750 0.750 0.750
Hg1 0.500 0.500 0.500

=====

Record 18
Entry from Alexandria via LeMat-Bulk: an optimized crystal structure of Ca2SmP (PBE-GGA).

Values from the calculation:
Energy relative to the elements ... -1.4 eV per formula unit
Crystal system ... trigonal
Density ... 3.0 Mg/m³

a = 3.955 Å, b = 3.955 Å, c = 10.919 Å
α = 79.57°, β = 79.57°, γ = 60.00°
Fractional positions:
P1 0.500 0.500 0.500
Sm1 0.000 0.000 0.000
Ca1 0.881 0.881 0.356
Ca2 0.119 0.119 0.644

=====

Record 19
Entry from Alexandria via LeMat-Bulk: an optimized crystal structure of PrTh4Pd15 (PBE-GGA).

Values from the calculation:
Energy relative to the elements ... -18.1 eV per formula unit
Crystal system ... tetragonal
Density ... 11.8 Mg/m³

a = 4.212 Å, b = 4.212 Å, c = 21.172 Å
α = 90.00°, β = 90.00°, γ = 90.00°
Fractional positions:
Pd1 0.000 0.500 0.699
Pd2 0.500 0.000 0.897
Pd3 0.000 0.500 0.897
Pd4 0.500 0.500 0.000
Pd5 0.500 0.000 0.301
Pd6 0.500 0.000 0.500
Pd7 0.500 0.500 0.798
Pd8 0.500 0.500 0.599
Pd9 0.000 0.500 0.500
Pd10 0.500 0.500 0.202
Pd11 0.500 0.500 0.401
Pd12 0.500 0.000 0.103
Pd13 0.500 0.000 0.699
Pd14 0.000 0.500 0.301
Pd15 0.000 0.500 0.103
Th1 0.000 0.000 0.600
Th2 0.000 0.000 0.802
Th3 0.000 0.000 0.198
Th4 0.000 0.000 0.400
Pr1 0.000 0.000 0.000

=====

Record 20
Entry from Alexandria via LeMat-Bulk: an optimized crystal structure of LiGdLuTc (PBE-GGA).

Values from the calculation:
Energy relative to the elements ... -0.2 eV per formula unit
Crystal system ... cubic
Density ... 8.7 Mg/m³

a = 4.903 Å, b = 4.903 Å, c = 4.903 Å
α = 60.00°, β = 60.00°, γ = 60.00°
Last column: magnetic moment on the atom in μB.
Fractional positions:
Tc1 0.500 0.500 0.500  -0.12
Gd1 0.750 0.750 0.750  7.07
Li1 0.000 0.000 0.000  0.01
Lu1 0.250 0.250 0.250  -0.03

=====

Record 21
Entry from Alexandria via LeMat-Bulk: an optimized crystal structure of Sr4Zn (PBE-GGA).

Values from the calculation:
Energy relative to the elements ... 0.0 eV per formula unit
Crystal system ... cubic
Density ... 2.8 Mg/m³

a = 6.284 Å, b = 6.284 Å, c = 6.284 Å
α = 90.00°, β = 90.00°, γ = 90.00°
Fractional positions:
Sr1 0.000 0.000 0.000
Sr2 0.500 0.000 0.500
Sr3 0.500 0.500 0.000
Sr4 0.000 0.500 0.500
Zn1 0.500 0.500 0.500

=====

Record 22
Entry from Alexandria via LeMat-Bulk: an optimized crystal structure of PuZrCoCu (PBE-GGA).

Values from the calculation:
Energy relative to the elements ... 0.1 eV per formula unit
Crystal system ... cubic
Density ... 10.5 Mg/m³

a = 4.682 Å, b = 4.682 Å, c = 4.682 Å
α = 60.00°, β = 60.00°, γ = 60.00°
Last column: magnetic moment on the atom in μB.
Fractional positions:
Pu1 0.500 0.500 0.500  5.14
Cu1 0.250 0.250 0.250  0.07
Co1 0.750 0.750 0.750  -0.88
Zr1 0.000 0.000 0.000  0.30